The following is a DFT calculation (PBE-GGA) of a relaxed structure of Ac4ZnIn3. Values from VASP.

Output
**DOS at the Fermi energy**: 7.9 states/eV/cell
**DFT total energy**: -3.615 eV per atom
**ΔH_f (0 K)**: -0.37 eV/atom

The structure in Quantum ESPRESSO input format:
```
&SYSTEM
  ibrav = 0, nat = 8, ntyp = 3
/
ATOMIC_SPECIES
Ac 227.00 Ac.upf
Zn 65.41 Zn.upf
In 114.82 In.upf
CELL_PARAMETERS angstrom
3.9738 0.0000 0.0000
0.0000 3.9738 0.0000
0.0000 0.0000 16.9293
ATOMIC_POSITIONS angstrom
Ac 0.0000 0.0000 1.9020
Ac 0.0000 0.0000 6.2671
Ac 0.0000 0.0000 10.6622
Ac 0.0000 0.0000 15.0273
Zn 1.9869 1.9869 0.0000
In 1.9869 1.9869 4.0491
In 1.9869 1.9869 8.4646
In 1.9869 1.9869 12.8802
```